(1)
Here is a geometry-optimized Ba3In3Ag8 structure from the Alexandria database. Energies are from GGA-PBE.

Output
Space-group type: Immm
Energy relative to the lowest polymorph listed for this composition: 0.019 eV/atom
ΔH_f (0 K): -0.2214 eV/atom
Total energy: -2.850 eV per atom
D(E_F): 5.06 states/eV per cell

Lattice parameters (Å, degrees): 9.2827 9.2827 9.2827 149.14 113.08 75.50
Atoms (fractional coordinates):
Ba 0.0000 0.0000 0.0000
Ba 0.2979 0.2979 0.0000
Ba 0.7021 0.7021 0.0000
In 0.2942 0.5000 0.7942
In 0.5000 0.0000 0.5000
In 0.7058 0.5000 0.2058
Ag 0.0231 0.6653 0.3578
Ag 0.1470 0.8646 0.2824
Ag 0.3075 0.6653 0.6422
Ag 0.4177 0.1354 0.2824
Ag 0.5823 0.8646 0.7176
Ag 0.6925 0.3347 0.3578
Ag 0.8530 0.1354 0.7176
Ag 0.9769 0.3347 0.6422

(2)
Here is a geometry-optimized TlRe2Rh structure from the Alexandria database. Energies are from GGA-PBE.

Output
Space-group type: Cm
Energy relative to the lowest polymorph listed for this composition: 0.237 eV/atom
ΔH_f (0 K): 0.5634 eV/atom
Total energy: -8.090 eV per atom
D(E_F): 3.50 states/eV per cell

Lattice parameters (Å, degrees): 4.8054 4.8054 5.0875 101.38 101.38 36.00
Atoms (fractional coordinates):
Tl 0.0000 0.0000 0.0000
Re 0.2349 0.2349 0.6637
Re 0.5043 0.5043 0.5148
Rh 0.7604 0.7604 0.2389

| no. | mass density (g/cm3) |
| --- | --- |
| 1 | 7.25 |
| 2 | 16.71 |